! Dy3ScGa3 PBE-GGA optimized geometry; values from VASP
! Energy relative to the elements: -34.2 kJ per mole of atoms
! Space group: No. 176
! E_tot: -4.53 eV/atom
! Calculated volume: 23.8 Å³ per atom
&SYSTEM
  ibrav = 0, nat = 14, ntyp = 3
/
ATOMIC_SPECIES
Dy 162.50 Dy.upf
Sc 44.96 Sc.upf
Ga 69.72 Ga.upf
ATOMIC_POSITIONS crystal
Dy 0.007 0.251 0.250
Dy 0.244 0.993 0.250
Dy 0.251 0.244 0.750
Dy 0.749 0.756 0.250
Dy 0.756 0.007 0.750
Dy 0.993 0.749 0.750
Sc 0.333 0.667 0.750
Sc 0.667 0.333 0.250
Ga 0.057 0.608 0.250
Ga 0.392 0.449 0.250
Ga 0.449 0.057 0.750
Ga 0.551 0.943 0.250
Ga 0.608 0.551 0.750
Ga 0.943 0.392 0.750
CELL_PARAMETERS angstrom
8.919 0.000 0.000
-4.459 7.724 0.000
0.000 0.000 4.832